No. 1
Entry from the Alexandria database: crystalline Na2SrPm at its relaxed geometry (PBE).

Values from the calculation:
DOS(E_F): 1.1057 states/eV per atom
crystal system: trigonal
VASP energy: -1.97 eV per atom
calculated volume: 164.0 Å³ per cell
energy of formation from the pure elements: 1.20 eV/f.u.

POSCAR file:
```
Na2SrPm
1.0
-0.545 -0.092 -3.672
-3.350 -0.846 -1.359
-4.730 12.989 -1.501
Sr Pm Na
1 1 2
direct
0.500 0.500 0.500 Sr
0.000 0.000 0.000 Pm
0.915 0.915 0.255 Na
0.085 0.085 0.745 Na
```

***

No. 2
Entry from the Alexandria database: crystalline HoLu2Hf at its relaxed geometry (PBE).

Values from the calculation:
DOS(E_F): 2.0351 states/eV per atom
energy above the lowest structure with this stoichiometry: 0.0837 eV/atom
crystal system: tetragonal
VASP energy: -5.68 eV per atom
calculated volume: 111.8 Å³ per cell
energy of formation from the pure elements: 0.83 eV/f.u.

POSCAR file:
```
HoLu2Hf
1.0
3.894 0.000 0.000
0.000 3.894 0.000
0.000 0.000 7.369
Ho Lu Hf
1 2 1
direct
0.500 0.500 0.500 Ho
0.000 0.000 0.779 Lu
0.000 0.000 0.221 Lu
0.500 0.500 0.000 Hf
```

***

Question: Look up the energy of formation from the pure elements of the first one.
Answer: 1.20 eV/f.u.

***

Question: Number 2 is which compound?
Answer: HoLu2Hf

***

Question: Among the records above, which one has the highest VASP energy?
Answer: Na2SrPm